# NpFe2MoO6

NpFe2MoO6 after structural relaxation (GGA+U, the Alexandria database).

Results
**Final energy**: -80.56 eV per cell
**ρ**: 7.050 g cm⁻³
**DOS(E_F)**: 8.094 states/eV/cell

Structure (CIF):
```
data_NpFe2MoO6
_cell_length_a 5.453
_cell_length_b 5.482
_cell_length_c 5.780
_cell_angle_alpha 62.62
_cell_angle_beta 63.05
_cell_angle_gamma 60.19
_space_group_name_H-M_alt 'P 1'
_space_group_IT_number 1
loop_
_space_group_symop_operation_xyz
'x,y,z'
loop_
_atom_site_label
_atom_site_type_symbol
_atom_site_fract_x
_atom_site_fract_y
_atom_site_fract_z
Np1 Np 0.318 0.321 0.044
Fe1 Fe 0.520 0.527 0.432
Fe2 Fe 0.031 0.009 0.932
Mo1 Mo 0.820 0.821 0.542
O1 O 0.589 0.223 0.273
O2 O 0.209 0.926 0.250
O3 O 0.919 0.608 0.258
O4 O 0.428 0.709 0.750
O5 O 0.721 0.100 0.769
O6 O 0.106 0.418 0.764
```